Material: AcCePtRh
Method: DFT, GGA-PBE
State: relaxed

Values from the calculation:
N(E_F): 1.04 states/eV/atom
Space group: No. 160
M_tot: 0.23 μB per cell
Energy of formation from the pure elements: -3.42 eV/f.u.
Energy: -6.71 eV per atom

POSCAR file:
```
AcCePtRh
1.0
-3.027 -0.433 3.432
3.758 -2.643 -0.097
1.317 5.795 1.892
Ac Rh Pt Ce
1 1 1 1
Direct
0.618 0.237 0.498
0.833 0.666 0.142
0.393 0.785 0.820
0.122 0.244 0.008
```

---

Material: CaLuAlZn
Method: DFT, GGA-PBE
State: relaxed

Values from the calculation:
N(E_F): 0.57 states/eV/atom
Space group: No. 216
M_tot: 0.00 μB per cell
Energy of formation from the pure elements: -1.09 eV/f.u.
Energy: -3.16 eV per atom

POSCAR file:
```
CaLuAlZn
1.0
-1.934 1.202 4.553
-4.987 -0.540 0.870
-1.658 -3.672 3.112
Lu Zn Ca Al
1 1 1 1
Direct
0.750 0.750 0.750
0.000 0.000 0.000
0.250 0.250 0.250
0.500 0.500 0.500
```

---

Material: Mn3CrIr12
Method: DFT, GGA-PBE
State: relaxed

Values from the calculation:
N(E_F): 0.86 states/eV/atom
Space group: No. 123
M_tot: 7.71 μB per cell
Energy of formation from the pure elements: -3.00 eV/f.u.
Energy: -9.15 eV per atom

POSCAR file:
```
Mn3CrIr12
1.0
-2.605 -2.400 1.434
1.901 -2.958 -1.497
8.220 -1.230 12.873
Ir Mn Cr
12 3 1
Direct
0.000 0.500 0.124
0.000 0.500 0.876
0.500 0.000 0.625
0.000 0.500 0.625
0.500 0.000 0.375
0.500 0.000 0.124
0.500 0.500 0.750
0.500 0.500 0.250
0.500 0.500 0.000
0.500 0.500 0.500
0.000 0.500 0.375
0.500 0.000 0.876
0.000 0.000 0.500
0.000 0.000 0.251
0.000 0.000 0.749
0.000 0.000 0.000
```

---

Material: KOsBrO4
Method: DFT, GGA-PBE
State: relaxed

Values from the calculation:
Space group: No. 12
M_tot: 0.20 μB per cell
Formation energy from raw total energies: -1.138 eV per atom
Energy: -5.97 eV per atom

POSCAR file:
```
KOsBrO4
1.0
-5.878 3.540 -0.869
-2.040 -0.211 -6.605
-7.110 -5.832 -0.943
Os O K Br
2 8 2 2
Direct
0.374 0.374 0.307
0.626 0.626 0.693
0.465 0.465 0.827
0.877 0.525 0.727
0.123 0.475 0.273
0.358 0.358 0.501
0.525 0.877 0.727
0.475 0.123 0.273
0.642 0.642 0.499
0.535 0.535 0.173
0.788 0.788 0.156
0.212 0.212 0.844
0.049 0.049 0.216
0.951 0.951 0.784
```

---

Material: HoTcGe4
Method: DFT, GGA-PBE
State: relaxed

Values from the calculation:
N(E_F): 0.65 states/eV/atom
Space group: No. 137
M_tot: 0.00 μB per cell
Energy of formation from the pure elements: 0.91 eV/f.u.
Energy: -5.42 eV per atom

POSCAR file:
```
HoTcGe4
1.0
-1.089 -3.554 -4.102
2.804 -3.951 2.679
-7.301 -2.437 4.050
Ge Tc Ho
8 2 2
Direct
0.000 0.282 0.789
0.782 0.500 0.289
0.500 0.218 0.711
0.218 0.500 0.289
0.500 0.782 0.711
0.000 0.718 0.789
0.282 0.000 0.211
0.718 0.000 0.211
0.500 0.500 0.500
0.000 0.000 0.000
0.000 0.000 0.500
0.500 0.500 0.000
```

---

Material: ZrSbPd2Pt
Method: DFT, GGA-PBE
State: relaxed

Values from the calculation:
N(E_F): 0.56 states/eV/atom
Space group: No. 123
M_tot: 0.00 μB per cell
Formation energy from raw total energies: 0.900 eV per atom
Energy: -4.92 eV per atom

POSCAR file:
```
ZrSbPd2Pt
1.0
4.811 0.000 0.000
0.000 5.431 0.000
0.000 0.000 4.811
Zr Sb Pt Pd
1 1 1 2
Direct
0.000 0.000 0.000
0.000 0.500 0.000
0.500 0.500 0.500
0.000 0.000 0.500
0.500 0.000 0.000
```

---

Material: Sr3TmAl2O8
Method: DFT, GGA-PBE
State: relaxed

Values from the calculation:
N(E_F): 0.77 states/eV/atom
Space group: No. 164
M_tot: 1.00 μB per cell
Formation energy from raw total energies: -2.883 eV per atom
Energy: -6.93 eV per atom

POSCAR file:
```
Sr3TmAl2O8
1.0
-3.709 4.060 1.816
-0.026 -1.673 -5.544
-4.830 -5.113 1.566
Sr O Tm Al
3 8 1 2
Direct
0.000 0.000 0.000
0.667 0.333 0.348
0.333 0.667 0.652
0.344 0.172 0.687
0.172 0.344 0.313
0.828 0.656 0.687
0.667 0.333 0.028
0.828 0.172 0.687
0.333 0.667 0.972
0.656 0.828 0.313
0.172 0.828 0.313
0.000 0.000 0.500
0.667 0.333 0.787
0.333 0.667 0.213
```

---

Material: NaScH2N
Method: DFT, GGA-PBE
State: relaxed

Values from the calculation:
N(E_F): 0.36 states/eV/atom
Space group: No. 123
M_tot: 0.00 μB per cell
Energy: -3.86 eV per atom

POSCAR file:
```
NaScH2N
1.0
-4.144 -1.081 0.923
0.497 -3.482 -1.845
1.311 -1.809 3.768
N Na H Sc
1 1 2 1
Direct
0.000 0.000 0.000
0.500 0.500 0.500
0.500 0.000 0.000
0.000 0.000 0.500
0.000 0.500 0.000
```

---

Material: HfZr3Cu2N
Method: DFT, GGA-PBE
State: relaxed

Values from the calculation:
N(E_F): 0.66 states/eV/atom
Space group: No. 71
M_tot: 0.00 μB per cell
Formation energy from raw total energies: -0.477 eV per atom
Energy: -7.92 eV per atom

POSCAR file:
```
HfZr3Cu2N
1.0
4.366 0.000 0.000
0.000 4.420 0.000
-2.183 -2.210 6.506
Zr N Cu Hf
3 1 2 1
Direct
0.821 0.821 0.642
0.000 0.500 0.000
0.179 0.179 0.358
0.000 0.000 0.000
0.377 0.377 0.753
0.623 0.623 0.247
0.500 0.000 0.000
```

---

Material: LaCrSb2Te
Method: DFT, GGA-PBE
State: relaxed

Values from the calculation:
N(E_F): 1.01 states/eV/atom
Space group: No. 123
M_tot: 4.19 μB per cell
Formation energy from raw total energies: 0.718 eV per atom
Energy: -4.47 eV per atom

POSCAR file:
```
LaCrSb2Te
1.0
6.069 0.000 0.000
0.000 6.069 0.000
0.000 0.000 6.056
Sb La Cr Te
2 1 1 1
Direct
0.000 0.500 0.000
0.500 0.000 0.000
0.000 0.000 0.000
0.500 0.500 0.500
0.000 0.000 0.500
```

---

Material: Pu2ThPaAs4
Method: DFT, GGA-PBE
State: relaxed

Values from the calculation:
N(E_F): 3.14 states/eV/atom
Space group: No. 10
M_tot: 0.40 μB per cell
Energy of formation from the pure elements: -9.15 eV/f.u.
Energy: -9.17 eV per atom

POSCAR file:
```
Pu2ThPaAs4
1.0
4.178 0.000 0.000
0.000 7.240 0.115
0.000 -2.533 6.708
Th Pu As Pa
1 2 4 1
Direct
0.000 0.000 0.000
0.000 0.500 0.500
0.500 0.000 0.500
0.000 0.744 0.248
0.000 0.256 0.752
0.500 0.741 0.747
0.500 0.259 0.253
0.500 0.500 0.000
```

---

Material: Tl2SnPb2
Method: DFT, GGA-PBE
State: relaxed

Values from the calculation:
N(E_F): 0.46 states/eV/atom
Space group: No. 127
M_tot: 0.00 μB per cell
Energy of formation from the pure elements: 0.76 eV/f.u.
Energy: -3.08 eV per atom

POSCAR file:
```
Tl2SnPb2
1.0
9.293 0.000 0.000
0.000 9.293 0.000
0.000 0.000 3.625
Tl Pb Sn
4 4 2
Direct
0.661 0.161 0.000
0.839 0.661 0.000
0.339 0.839 0.000
0.161 0.339 0.000
0.137 0.637 0.500
0.363 0.137 0.500
0.637 0.863 0.500
0.863 0.363 0.500
0.000 0.000 0.000
0.500 0.500 0.000
```